The following is a PBE calculation of a geometry-optimized Cs4Sm3DyTe8 structure, from Alexandria via LeMat-Bulk.

Geometry as extended XYZ:
```
16
Lattice="4.612 2.663 8.936 -4.612 2.663 8.936 0.000 -5.325 8.936" Properties=species:S:1:pos:R:3 pbc="T T T"
Cs 0.000 0.000 0.000
Cs -2.306 -1.331 8.936
Cs -2.306 1.331 17.871
Cs 0.000 2.663 8.935
Sm -4.612 0.000 13.403
Sm -2.306 1.331 4.468
Sm 2.306 1.331 4.468
Dy 0.000 0.000 13.403
Te 0.000 0.000 6.197
Te -2.276 -1.314 15.115
Te 0.000 -2.628 11.691
Te -2.276 1.314 11.691
Te 2.276 -1.314 15.115
Te 0.000 2.628 15.115
Te 2.276 1.314 11.691
Te 0.000 0.000 20.609
```

Values from the calculation:
The total energy comes out at -4.358 eV per atom. The calculation puts the total magnetic moment at 0.00 μB per formula unit. The value obtained for the theoretical density is 5.46 Mg/m³. As for the symmetry: No. 166. The value obtained for the energy relative to the elements, uncorrected is -1.40 eV per atom.